VASP calculation (PBE-GGA) on YHo12Co6 after structural relaxation.

Unit cell a=8.4197 b=8.4197 c=8.4197 alpha=109.47 beta=109.47 gamma=109.47
Closest atoms and distances in Å follow each position.
Sites, in units of the cell vectors:
Y: 0.0000 0.0000 0.0000  12 Ho 3.55
Ho: 0.3090 0.1152 0.8062  3 Co 2.64-2.87
Ho: 0.3090 0.5027 0.1938  3 Co 2.64-2.87
Ho: 0.6910 0.4973 0.8062  3 Co 2.64-2.87
Ho: 0.6910 0.8848 0.1938  3 Co 2.64-2.87
Ho: 0.1152 0.8062 0.3090  3 Co 2.64-2.87
Ho: 0.5027 0.1938 0.3090  3 Co 2.64-2.87
Ho: 0.4973 0.8062 0.6910  3 Co 2.64-2.87
Ho: 0.8848 0.1938 0.6910  3 Co 2.64-2.87
Ho: 0.8062 0.3090 0.1152  3 Co 2.64-2.87
Ho: 0.1938 0.3090 0.5027  3 Co 2.64-2.87
Ho: 0.8062 0.6910 0.4973  3 Co 2.64-2.87
Ho: 0.1938 0.6910 0.8848  3 Co 2.64-2.87
Co: 0.3863 0.5000 0.8863  1 Co 2.21
Co: 0.6137 0.5000 0.1137  1 Co 2.21
Co: 0.5000 0.8863 0.3863  1 Co 2.21
Co: 0.5000 0.1137 0.6137  1 Co 2.21
Co: 0.8863 0.3863 0.5000  1 Co 2.21
Co: 0.1137 0.6137 0.5000  1 Co 2.21

Computed properties:
The energy of formation comes out at -144 meV/atom. The total energy is -5.62 eV per atom. As for the density: 8.752 g cm⁻³. For the total magnetization, the calculation gives 0.00 μB/cell. Its space group is No. 204.